1.
DFT (PBE-GGA) results for a relaxed TcRu3Rh3 crystal.

Summary:
The total moment is 0.0 μB per cell. The calculation puts the electronic total energy at -8.65 eV/atom.

a b c (Å): 7.2495 7.2495 4.3290
angles (deg): 90.00 90.00 120.00
With the nearest neighbours (Å) after each atom.
Space group P6_3/m (No. 176)
Unique sites:
Tc  0.3333  0.6667  0.2500 x2  9 Ru 2.68-2.74, 3 Rh 2.73
Ru  0.0951  0.4785  0.7500 x6  4 Ru 2.67-2.73, 5 Rh 2.68-2.77, 3 Tc 2.68-2.74
Rh  0.0461  0.2411  0.2500 x6  5 Ru 2.68-2.77, 6 Rh 2.70-2.78, 1 Tc 2.73

=====

2.
DFT (PBE-GGA) results for a relaxed TcRuRh crystal.

Summary:
The total moment is 0.0 μB per cell. The excess energy over the best structure of this formula in the dataset comes out at 431 meV/atom. The calculation puts the electronic total energy at -8.68 eV/atom.

a b c (Å): 3.2471 3.2471 8.2816
angles (deg): 90.00 90.00 90.00
With the nearest neighbours (Å) after each atom.
Space group I4mm (No. 107)
Unique sites:
Tc  0.0000  0.0000  0.0000 x2  5 Ru 2.64-2.83, 5 Rh 2.69-2.74
Ru  0.0000  0.0000  0.6582 x2  5 Tc 2.64-2.83, 5 Rh 2.70-2.71
Rh  0.0000  0.0000  0.3308 x2  5 Tc 2.69-2.74, 5 Ru 2.70-2.71

=====

These records have ΔE_f values of -44, 317 meV/atom, in the order they appear.